1.
A plane-wave DFT calculation with GGA-PBEsol was carried out for an optimized crystal structure of ZnPt3.

Results
volume: 14.64 A^3/atom
E_tot: -5.8538 eV/atom

Unit cell a=2.748 b=4.624 c=9.217 alpha=90.00 beta=90.00 gamma=90.00
Space group Immm (No. 71)
Symmetry-distinct sites (fractional):
Zn  0.000  0.000  0.000
Pt  0.000  0.000  0.500
Pt  0.000  0.500  0.259

2.
A plane-wave DFT calculation with GGA-PBEsol was carried out for an optimized crystal structure of Zn2Pt.

Results
volume: 14.81 A^3/atom
E_tot: -3.6950 eV/atom

Unit cell a=2.782 b=2.782 c=22.948 alpha=90.00 beta=90.00 gamma=90.00
Space group I4_1/amd (No. 141, origin choice 2)
Symmetry-distinct sites (fractional):
Zn  0.000  0.250  0.298
Pt  0.000  0.250  0.875

no.,ΔE_f (kJ/mol of atoms),size of the total moment (μB per atom)
1,-22.7,0.000
2,-30.8,0.000